#a
First-principles (PBE-GGA) data for KLiLa after structural relaxation, as listed in Alexandria via LeMat-Bulk.

Cell: 3.624 3.624 17.978 Å, 90.00 90.00 90.00°
Space group I4mm (No. 107)
Unique sites:
K: 0.000 0.000 0.000 x2
Li: 0.000 0.000 0.334 x2
La: 0.000 0.000 0.703 x2

Properties
calculated volume	39.35	A^3/atom

=====

#b
First-principles (PBE-GGA) data for KLiLa after structural relaxation, as listed in Alexandria via LeMat-Bulk.

Cell: 19.410 3.749 6.443 Å, 90.00 90.00 90.00°
Space group Amm2 (No. 38)
Unique sites:
K: 0.168 0.000 0.000 x4
Li: 0.000 0.000 0.673 x2
Li: 0.500 0.000 0.973 x2
La: 0.359 0.000 0.636 x4

Properties
calculated volume	39.07	A^3/atom

=====

Of them, #a has the lowest stability.

=====

#a
First-principles (PBE-GGA) data for KLiLa after structural relaxation, as listed in Alexandria via LeMat-Bulk.

Cell: 4.012 6.088 19.263 Å, 90.00 90.00 90.00°
Space group Fmm2 (No. 42)
Unique sites:
K: 0.000 0.000 0.000 x4
Li: 0.000 0.000 0.332 x4
La: 0.000 0.000 0.692 x4

Properties
calculated volume	39.21	A^3/atom

=====

#b
First-principles (PBE-GGA) data for KLiLa after structural relaxation, as listed in Alexandria via LeMat-Bulk.

Cell: 3.7401 3.7401 9.7165 Å, 90.00 90.00 120.00°
Space group P3m1 (No. 156)
Unique sites:
K: 0.0000 0.0000 0.0000 x1
Li: 0.3333 0.6667 0.6599 x1
La: 0.6667 0.3333 0.3816 x1

Properties
calculated volume	39.24	A^3/atom

=====

#c
First-principles (PBE-GGA) data for KLiLa after structural relaxation, as listed in Alexandria via LeMat-Bulk.

Cell: 6.2373 6.2373 3.4754 Å, 90.00 90.00 120.00°
Space group P3m1 (No. 156)
Unique sites:
K: 0.0000 0.0000 0.0000 x1
Li: 0.3333 0.6667 0.9923 x1
La: 0.6667 0.3333 0.4933 x1

Properties
calculated volume	39.03	A^3/atom

=====

Of them, #c has the lowest stability.

=====

#a
First-principles (PBE-GGA) data for KLaMg6 after structural relaxation, as listed in Alexandria via LeMat-Bulk.

Cell: 5.344 7.142 12.241 Å, 90.00 90.00 90.00°
Space group Amm2 (No. 38)
Unique sites:
K: 0.000 0.000 0.000 x2
La: 0.500 0.000 0.327 x2
Mg: 0.000 0.000 0.499 x2
Mg: 0.000 0.238 0.745 x4
Mg: 0.500 0.000 0.814 x2
Mg: 0.500 0.220 0.588 x4

Properties
calculated volume	29.20	A^3/atom

=====

#b
First-principles (PBE-GGA) data for KLaMg6 after structural relaxation, as listed in Alexandria via LeMat-Bulk.

Cell: 5.164 7.882 11.800 Å, 90.00 90.00 90.00°
Space group Amm2 (No. 38)
Unique sites:
K: 0.000 0.000 0.000 x2
La: 0.000 0.000 0.414 x2
Mg: 0.000 0.191 0.708 x4
Mg: 0.500 0.000 0.203 x2
Mg: 0.500 0.000 0.608 x2
Mg: 0.500 0.209 0.863 x4

Properties
calculated volume	30.02	A^3/atom

=====

Of them, #b has the lowest stability.

=====

#a
First-principles (PBE-GGA) data for KLaMg2 after structural relaxation, as listed in Alexandria via LeMat-Bulk.

Cell: 11.278 3.357 8.054 Å, 90.00 94.74 90.00°
Space group C2/m (No. 12)
Unique sites:
K: 0.000 0.000 0.000 x2
La: 0.000 0.500 0.500 x2
Mg: 0.241 0.000 0.686 x4

Properties
calculated volume	37.98	A^3/atom

=====

#b
First-principles (PBE-GGA) data for KLaMg2 after structural relaxation, as listed in Alexandria via LeMat-Bulk.

Cell: 3.604 3.604 10.878 Å, 90.00 90.00 90.00°
Space group P4mm (No. 99)
Unique sites:
K: 0.000 0.000 0.000 x1
La: 0.500 0.500 0.346 x1
Mg: 0.000 0.000 0.558 x1
Mg: 0.500 0.500 0.722 x1

Properties
calculated volume	35.32	A^3/atom

=====

Of them, #a has the lowest stability.

=====

#a
First-principles (PBE-GGA) data for KLaMg2 after structural relaxation, as listed in Alexandria via LeMat-Bulk.

Cell: 3.6217 3.6217 36.5416 Å, 90.00 90.00 120.00°
Space group R-3m (No. 166, hexagonal axes)
Unique sites:
K: 0.0000 0.0000 0.0000 x3
La: 0.0000 0.0000 0.5000 x3
Mg: 0.0000 0.0000 0.2447 x6

Properties
calculated volume	34.59	A^3/atom

=====

#b
First-principles (PBE-GGA) data for KLaMg2 after structural relaxation, as listed in Alexandria via LeMat-Bulk.

Cell: 4.028 4.028 8.960 Å, 90.00 90.00 90.00°
Space group P4/mmm (No. 123)
Unique sites:
K: 0.000 0.000 0.000 x1
La: 0.000 0.000 0.500 x1
Mg: 0.500 0.500 0.290 x2

Properties
calculated volume	36.33	A^3/atom

=====

Of them, #a has the lowest stability.

=====

#a
First-principles (PBE-GGA) data for KLaMg2 after structural relaxation, as listed in Alexandria via LeMat-Bulk.

Cell: 13.448 3.417 6.293 Å, 90.00 108.86 90.00°
Space group Cm (No. 8)
Unique sites:
K: 0.000 0.000 0.000 x2
La: 0.300 0.500 0.364 x2
Mg: 0.049 0.500 0.531 x2
Mg: 0.238 0.000 0.822 x2

Properties
calculated volume	34.20	A^3/atom

=====

#b
First-principles (PBE-GGA) data for KLaMg2 after structural relaxation, as listed in Alexandria via LeMat-Bulk.

Cell: 9.182 9.182 7.059 Å, 90.00 90.00 90.00°
Space group I-42d (No. 122)
Unique sites:
K: 0.000 0.000 0.000 x4
La: 0.000 0.000 0.500 x4
Mg: 0.244 0.250 0.625 x8

Properties
calculated volume	37.19	A^3/atom

=====

#c
First-principles (PBE-GGA) data for KLaMg2 after structural relaxation, as listed in Alexandria via LeMat-Bulk.

Cell: 7.977 7.977 7.977 Å, 90.00 90.00 90.00°
Space group F-43m (No. 216)
Unique sites:
K: 0.000 0.000 0.000 x4
La: 0.250 0.250 0.250 x4
Mg: 0.000 0.000 0.500 x4
Mg: 0.250 0.250 0.750 x4

Properties
calculated volume	31.72	A^3/atom

=====

#d
First-principles (PBE-GGA) data for KLaMg2 after structural relaxation, as listed in Alexandria via LeMat-Bulk.

Cell: 8.207 8.207 8.207 Å, 90.00 90.00 90.00°
Space group Fm-3m (No. 225)
Unique sites:
K: 0.000 0.000 0.000 x4
La: 0.000 0.000 0.500 x4
Mg: 0.250 0.250 0.250 x8

Properties
calculated volume	34.55	A^3/atom

=====

Of them, #b has the lowest stability.

=====

#a
First-principles (PBE-GGA) data for KLa3Mg after structural relaxation, as listed in Alexandria via LeMat-Bulk.

Cell: 5.741 5.741 5.741 Å, 90.00 90.00 90.00°
Space group Pm-3m (No. 221)
Unique sites:
K: 0.000 0.000 0.000 x1
La: 0.000 0.000 0.500 x3
Mg: 0.500 0.500 0.500 x1

Properties
calculated volume	37.84	A^3/atom

=====

#b
First-principles (PBE-GGA) data for KLa3Mg after structural relaxation, as listed in Alexandria via LeMat-Bulk.

Cell: 6.137 6.137 6.137 Å, 90.00 90.00 90.00°
Space group Pm-3m (No. 221)
Unique sites:
K: 0.000 0.000 0.000 x1
La: 0.000 0.500 0.500 x3
Mg: 0.500 0.500 0.500 x1

Properties
calculated volume	46.22	A^3/atom

=====

Of them, #a has the lowest stability.

=====

#a
First-principles (PBE-GGA) data for KLaMo2 after structural relaxation, as listed in Alexandria via LeMat-Bulk.

Cell: 4.222 4.222 21.988 Å, 90.00 90.00 90.00°
Space group I-42d (No. 122)
Unique sites:
K: 0.000 0.000 0.000 x4
La: 0.000 0.000 0.500 x4
Mo: 0.179 0.750 0.625 x8

Properties
calculated volume	24.50	A^3/atom

=====

#b
First-principles (PBE-GGA) data for KLaMo2 after structural relaxation, as listed in Alexandria via LeMat-Bulk.

Cell: 3.365 5.323 11.426 Å, 90.00 90.00 90.00°
Space group Cmm2 (No. 35)
Unique sites:
K: 0.000 0.000 0.000 x2
La: 0.000 0.500 0.655 x2
Mo: 0.000 0.000 0.427 x2
Mo: 0.000 0.500 0.271 x2

Properties
calculated volume	25.58	A^3/atom

=====

Of them, #a has the lowest stability.

=====

#a
First-principles (PBE-GGA) data for KLaMo2 after structural relaxation, as listed in Alexandria via LeMat-Bulk.

Cell: 8.110 3.248 9.389 Å, 90.00 93.27 90.00°
Space group Cm (No. 8)
Unique sites:
K: 0.000 0.000 0.000 x2
La: 0.270 0.500 0.417 x2
Mo: 0.020 0.500 0.614 x2
Mo: 0.242 0.000 0.718 x2

Properties
calculated volume	30.86	A^3/atom

=====

#b
First-principles (PBE-GGA) data for KLaMo2 after structural relaxation, as listed in Alexandria via LeMat-Bulk.

Cell: 5.365 5.365 3.593 Å, 90.00 90.00 90.00°
Space group P4/mmm (No. 123)
Unique sites:
K: 0.000 0.000 0.000 x1
La: 0.500 0.500 0.000 x1
Mo: 0.000 0.500 0.500 x2

Properties
calculated volume	25.85	A^3/atom

=====

Of them, #b has the lowest stability.

=====

#a
First-principles (PBE-GGA) data for KLa3Mo after structural relaxation, as listed in Alexandria via LeMat-Bulk.

Cell: 5.744 5.744 5.744 Å, 90.00 90.00 90.00°
Space group Pm-3m (No. 221)
Unique sites:
K: 0.000 0.000 0.000 x1
La: 0.000 0.500 0.500 x3
Mo: 0.500 0.500 0.500 x1

Properties
calculated volume	37.91	A^3/atom

=====

#b
First-principles (PBE-GGA) data for KLa3Mo after structural relaxation, as listed in Alexandria via LeMat-Bulk.

Cell: 5.529 5.529 5.529 Å, 90.00 90.00 90.00°
Space group Pm-3m (No. 221)
Unique sites:
K: 0.000 0.000 0.000 x1
La: 0.000 0.000 0.500 x3
Mo: 0.500 0.500 0.500 x1

Properties
calculated volume	33.80	A^3/atom

=====

Of them, #b has the lowest stability.

=====

#a
First-principles (PBE-GGA) data for KLaN2 after structural relaxation, as listed in Alexandria via LeMat-Bulk.

Cell: 3.8671 3.8671 22.4224 Å, 90.00 90.00 120.00°
Space group R-3m (No. 166, hexagonal axes)
Unique sites:
K: 0.0000 0.0000 0.0000 x3
La: 0.0000 0.0000 0.5000 x3
N: 0.0000 0.0000 0.1160 x6

Properties
calculated volume	24.20	A^3/atom

=====

#b
First-principles (PBE-GGA) data for KLaN2 after structural relaxation, as listed in Alexandria via LeMat-Bulk.

Cell: 6.390 6.390 6.390 Å, 90.00 90.00 90.00°
Space group Fm-3m (No. 225)
Unique sites:
K: 0.000 0.000 0.000 x4
La: 0.000 0.000 0.500 x4
N: 0.250 0.250 0.250 x8

Properties
calculated volume	16.31	A^3/atom

=====

#c
First-principles (PBE-GGA) data for KLaN2 after structural relaxation, as listed in Alexandria via LeMat-Bulk.

Cell: 4.4709 4.4709 21.1041 Å, 90.00 90.00 120.00°
Space group R-3m (No. 166, hexagonal axes)
Unique sites:
K: 0.0000 0.0000 0.0000 x3
La: 0.0000 0.0000 0.5000 x3
N: 0.0000 0.0000 0.4104 x6

Properties
calculated volume	30.44	A^3/atom

=====

Of them, #c has the lowest stability.

=====

#a
First-principles (PBE-GGA) data for KLa2Nb after structural relaxation, as listed in Alexandria via LeMat-Bulk.

Cell: 8.679 8.679 8.812 Å, 90.00 90.00 90.00°
Space group I-42d (No. 122)
Unique sites:
K: 0.000 0.000 0.000 x4
La: 0.114 0.250 0.625 x8
Nb: 0.000 0.000 0.500 x4

Properties
calculated volume	41.49	A^3/atom

=====

#b
First-principles (PBE-GGA) data for KLa2Nb after structural relaxation, as listed in Alexandria via LeMat-Bulk.

Cell: 8.015 8.015 8.015 Å, 90.00 90.00 90.00°
Space group Fm-3m (No. 225)
Unique sites:
K: 0.000 0.000 0.000 x4
La: 0.250 0.250 0.250 x8
Nb: 0.000 0.000 0.500 x4

Properties
calculated volume	32.18	A^3/atom

=====

Of them, #a has the lowest stability.